i | VASP calculation (PBE-GGA) on an optimized crystal structure of Ho2PaAg.

Cell: 5.4834 5.4834 3.3781 Å, 90.00 90.00 90.00°
Fractional coordinates of all 4 atoms:
Ho (0.0000, 0.5000, 0.0000)
Ho (0.5000, 0.0000, 0.0000)
Pa (0.0000, 0.0000, 0.5000)
Ag (0.5000, 0.5000, 0.5000)

SG	No. 123

ii | VASP calculation (PBE-GGA) on an optimized crystal structure of Ho2PaAg.

Cell: 11.6069 11.6069 11.6069 Å, 15.97 15.97 15.97°
Fractional coordinates of all 4 atoms:
Ho (0.0931, 0.0931, 0.0931)
Ho (0.9069, 0.9069, 0.9069)
Pa (0.0000, 0.0000, 0.0000)
Ag (0.5000, 0.5000, 0.5000)

SG	No. 166

Most stable to least stable: i, ii